The following is a DFT calculation (PBE) of a geometry-optimized Nb4InRh5 structure.

Cell and atoms, written as POSCAR:
```
Nb4InRh5
1.0
2.920 0.000 0.000
0.000 2.920 0.000
0.000 0.000 18.999
Nb In Rh
4 1 5
Direct
0.000 0.000 0.199
0.000 0.000 0.400
0.000 0.000 0.600
0.000 0.000 0.801
0.000 0.000 0.000
0.500 0.500 0.102
0.500 0.500 0.300
0.500 0.500 0.500
0.500 0.500 0.700
0.500 0.500 0.898
```

Values from the calculation:
ρ	10.26	g cm⁻³
energy relative to the elements	-0.42	eV/atom
total moment	0.0	μB/f.u.
DOS at the Fermi energy	7.6	states/eV/f.u.